[1]
# Sr2HN

Crystalline Sr2HN at its relaxed geometry (PBE, Alexandria via LeMat-Bulk).

a b c (Å): 7.2169 7.2169 7.2169
angles (deg): 133.91 133.91 67.23
Fractional coordinates of all 8 atoms:
Sr (0.1055, 0.6250, 0.9805)
Sr (0.3750, 0.3555, 0.4805)
Sr (0.6445, 0.1250, 0.0195)
Sr (0.8750, 0.8945, 0.5195)
H (0.2500, 0.7500, 0.5000)
H (0.5000, 0.5000, 0.0000)
N (0.0000, 0.0000, 0.0000)
N (0.7500, 0.2500, 0.5000)

Summary:
Its total DFT energy (no corrections) is -4.23 eV/atom. As for the space-group type: I-42d. The value obtained for the energy above the most stable polymorph in this dataset is 0.63 eV/f.u. As for the volume: 24.0 A^3/atom.

[2]
# Sr4H2N

Crystalline Sr4H2N at its relaxed geometry (PBE, Alexandria via LeMat-Bulk).

a b c (Å): 6.7844 6.7844 6.7844
angles (deg): 123.53 123.53 84.00
Fractional coordinates of all 7 atoms:
Sr (0.0903, 0.6485, 0.0000)
Sr (0.3515, 0.3515, 0.4418)
Sr (0.6485, 0.0903, 0.0000)
Sr (0.9097, 0.9097, 0.5582)
H (0.2500, 0.7500, 0.5000)
H (0.7500, 0.2500, 0.5000)
N (0.0000, 0.0000, 0.0000)

Summary:
Its total DFT energy (no corrections) is -3.46 eV/atom. As for the space-group type: I-42m. The value obtained for the energy above the most stable polymorph in this dataset is 0.00 eV/f.u. As for the volume: 29.7 A^3/atom.

[3]
# SrHN3

Crystalline SrHN3 at its relaxed geometry (PBE, Alexandria via LeMat-Bulk).

a b c (Å): 3.6097 7.7029 7.0335
angles (deg): 90.00 90.00 90.00
Fractional coordinates of all 10 atoms:
Sr (0.0000, 0.0747, 0.0000)
Sr (0.0000, 0.9253, 0.5000)
H (0.5000, 0.1625, 0.3339)
H (0.5000, 0.8375, 0.8339)
N (0.5000, 0.0447, 0.2608)
N (0.5000, 0.4092, 0.0096)
N (0.5000, 0.4553, 0.5693)
N (0.5000, 0.5447, 0.0693)
N (0.5000, 0.5908, 0.5096)
N (0.5000, 0.9553, 0.7608)

Summary:
Its total DFT energy (no corrections) is -6.29 eV/atom. As for the space-group type: Pmc2_1. As for the volume: 19.6 A^3/atom.

[4]
# SrHN2

Crystalline SrHN2 at its relaxed geometry (PBE, Alexandria via LeMat-Bulk).

a b c (Å): 4.7739 4.7739 4.7739
angles (deg): 44.00 44.00 44.00
Fractional coordinates of all 4 atoms:
Sr (0.0000, 0.0000, 0.0000)
H (0.5000, 0.5000, 0.5000)
N (0.1881, 0.1881, 0.1881)
N (0.8119, 0.8119, 0.8119)

Summary:
Its total DFT energy (no corrections) is -4.24 eV/atom. As for the space-group type: R-3m. The value obtained for the energy above the most stable polymorph in this dataset is 2.07 eV/f.u. As for the volume: 11.9 A^3/atom.

[5]
# Sr2HN

Crystalline Sr2HN at its relaxed geometry (PBE, Alexandria via LeMat-Bulk).

a b c (Å): 4.5406 4.5406 4.5406
angles (deg): 60.00 60.00 60.00
Fractional coordinates of all 4 atoms:
Sr (0.2500, 0.2500, 0.2500)
Sr (0.7500, 0.7500, 0.7500)
H (0.0000, 0.0000, 0.0000)
N (0.5000, 0.5000, 0.5000)

Summary:
Its total DFT energy (no corrections) is -4.14 eV/atom. As for the space-group type: Fm-3m. The value obtained for the energy above the most stable polymorph in this dataset is 0.99 eV/f.u. As for the volume: 16.5 A^3/atom.

[6]
# SrH3N

Crystalline SrH3N at its relaxed geometry (PBE, Alexandria via LeMat-Bulk).

a b c (Å): 6.7705 6.7705 6.7705
angles (deg): 35.81 35.81 35.81
Fractional coordinates of all 5 atoms:
Sr (0.0000, 0.0000, 0.0000)
H (0.0405, 0.0405, 0.4322)
H (0.0405, 0.4322, 0.0405)
H (0.4322, 0.0405, 0.0405)
N (0.1938, 0.1938, 0.1938)

Summary:
Its total DFT energy (no corrections) is -4.16 eV/atom. As for the space-group type: R3m. The value obtained for the energy above the most stable polymorph in this dataset is 0.00 eV/f.u. As for the volume: 19.0 A^3/atom.